Record 1
An optimized crystal structure of Zn2W. Source: Alexandria via LeMat-Bulk, functional GGA-PBE.

Cell: 7.8803 7.8803 7.8803 Å, 154.19 154.19 36.82°
Last column: nearest neighbours and their distance in Å.
Fractional coordinates of all 6 atoms:
1 Zn 0.1732 0.6732 0.5000  3 Zn 2.28-2.30
2 W 0.7500 0.2500 0.5000  8 Zn 2.74
3 Zn 0.5768 0.5768 0.0000  3 Zn 2.28-2.30
4 Zn 0.3268 0.8268 0.5000  3 Zn 2.28-2.30
5 Zn 0.4232 0.4232 0.0000  3 Zn 2.28-2.30
6 W 0.0000 0.0000 0.0000  8 Zn 2.74

Values from the calculation:
Its formation energy is 775 meV/atom.

Record 2
An optimized crystal structure of LiDyAgSb. Source: Alexandria via LeMat-Bulk, functional GGA-PBE.

Cell: 5.0332 5.0332 5.0332 Å, 60.00 60.00 60.00°
Last column: nearest neighbours and their distance in Å.
Fractional coordinates of all 4 atoms:
1 Sb 0.7500 0.7500 0.7500  4 Li 3.08, 4 Dy 3.08
2 Ag 0.2500 0.2500 0.2500  4 Dy 3.08, 4 Li 3.08
3 Li 0.0000 0.0000 0.0000  4 Ag 3.08, 4 Sb 3.08
4 Dy 0.5000 0.5000 0.5000  4 Sb 3.08, 4 Ag 3.08

Values from the calculation:
The raw formation energy is -534 meV/atom.

Record 3
An optimized crystal structure of Be3Ru. Source: Alexandria via LeMat-Bulk, functional GGA-PBE.

Cell: 2.5888 2.5888 7.2316 Å, 90.00 90.00 120.00°
Last column: nearest neighbours and their distance in Å.
Fractional coordinates of all 4 atoms:
1 Be 0.0000 0.0000 0.0109  3 Be 2.29, 3 Ru 2.41
2 Be 0.6667 0.3333 0.2500  6 Be 2.29
3 Ru 0.6667 0.3333 0.7500  6 Be 2.41, 6 Ru 2.59
4 Be 0.0000 0.0000 0.4891  3 Be 2.29, 3 Ru 2.41

Values from the calculation:
Its formation energy is 102 meV/atom.

Record 4
An optimized crystal structure of RbPu2MgCl8. Source: Alexandria via LeMat-Bulk, functional GGA-PBE.

Cell: 6.6094 6.4731 8.7231 Å, 89.99 89.99 86.97°
Last column: nearest neighbours and their distance in Å.
Fractional coordinates of all 12 atoms:
1 Cl 0.3264 0.2672 0.0000  1 Mg 2.84, 2 Pu 2.85
2 Cl 0.3809 0.2793 0.5000  2 Pu 2.82
3 Cl 0.6191 0.7207 0.5000  2 Pu 2.82
4 Mg 0.0000 0.0000 0.0000  4 Cl 2.48
5 Cl 0.1646 0.7757 0.7999  1 Mg 2.48
6 Pu 0.5000 0.5000 0.7606  6 Cl 2.79-2.85
7 Cl 0.6736 0.7328 0.0000  1 Mg 2.84, 2 Pu 2.85
8 Pu 0.5000 0.5000 0.2394  6 Cl 2.79-2.85
9 Cl 0.8356 0.2244 0.7998  1 Mg 2.48
10 Rb 0.0000 0.0000 0.5000  6 Cl 3.16-3.18
11 Cl 0.8354 0.2243 0.2001  1 Mg 2.48
12 Cl 0.1644 0.7756 0.2002  1 Mg 2.48

Values from the calculation:
The raw formation energy is -1860 meV/atom.